[1]
YSc2In9 (GGA-PBE, relaxed); calculated density = 7.05 g cm⁻³; DFT formation energy = -343.7 meV/atom; calculated total energy = -3.99 eV/atom; DOS at the Fermi energy = 3.80 states/eV per cell; total moment = 0.0 μB/cell
1.0
4.568 0.000 0.000
0.000 4.568 0.000
0.000 0.000 13.685
Y Sc In
1 2 9
direct
0.000 0.000 0.000 Y
0.000 0.000 0.336 Sc
0.000 0.000 0.664 Sc
0.000 0.500 0.173 In
0.000 0.500 0.500 In
0.000 0.500 0.827 In
0.500 0.000 0.173 In
0.500 0.000 0.500 In
0.500 0.000 0.827 In
0.500 0.500 0.000 In
0.500 0.500 0.335 In
0.500 0.500 0.665 In



[2]
PmNdPb (GGA-PBE, relaxed); calculated density = 8.20 g cm⁻³; DFT formation energy = -159.4 meV/atom; calculated total energy = -4.57 eV/atom; DOS at the Fermi energy = 16.12 states/eV per cell; energy above the most stable polymorph in this dataset = 298 meV/atom; total moment = 0.0 μB/cell
1.0
3.577 0.000 0.000
0.000 6.024 0.000
0.000 0.000 18.665
Pm Nd Pb
4 4 4
direct
0.000 0.246 0.000 Pm
0.000 0.754 0.000 Pm
0.500 0.254 0.500 Pm
0.500 0.746 0.500 Pm
0.000 0.500 0.331 Nd
0.000 0.500 0.669 Nd
0.500 0.000 0.169 Nd
0.500 0.000 0.831 Nd
0.000 0.500 0.157 Pb
0.000 0.500 0.843 Pb
0.500 0.000 0.343 Pb
0.500 0.000 0.657 Pb



[3]
Nd2TmCd (GGA-PBE, relaxed); calculated density = 7.17 g cm⁻³; DFT formation energy = 141.6 meV/atom; calculated total energy = -3.59 eV/atom; DOS at the Fermi energy = 11.21 states/eV per cell; energy above the most stable polymorph in this dataset = 286 meV/atom; total moment = 0.0 μB/cell
1.0
3.512 0.000 0.000
-1.756 3.042 0.000
0.000 0.000 37.063
Nd Tm Cd
6 3 3
direct
0.000 0.000 0.089 Nd
0.000 0.000 0.911 Nd
0.333 0.667 0.577 Nd
0.333 0.667 0.756 Nd
0.667 0.333 0.244 Nd
0.667 0.333 0.423 Nd
0.000 0.000 0.500 Tm
0.333 0.667 0.167 Tm
0.667 0.333 0.833 Tm
0.000 0.000 0.000 Cd
0.333 0.667 0.667 Cd
0.667 0.333 0.333 Cd



[4]
LaAlRe (GGA-PBE, relaxed); calculated density = 9.16 g cm⁻³; DFT formation energy = -198.7 meV/atom; calculated total energy = -7.24 eV/atom; DOS at the Fermi energy = 15.19 states/eV per cell; energy above the most stable polymorph in this dataset = 0 meV/atom; total moment = 0.0 μB/cell
1.0
2.877 1.661 13.359
-2.877 1.661 13.359
0.000 -3.322 13.359
La Al Re
6 6 6
direct
0.042 0.042 0.042 La
0.179 0.179 0.179 La
0.267 0.267 0.267 La
0.733 0.733 0.733 La
0.821 0.821 0.821 La
0.958 0.958 0.958 La
0.243 0.713 0.713 Al
0.287 0.287 0.757 Al
0.287 0.757 0.287 Al
0.713 0.243 0.713 Al
0.713 0.713 0.243 Al
0.757 0.287 0.287 Al
0.000 0.500 0.500 Re
0.383 0.383 0.383 Re
0.500 0.000 0.500 Re
0.500 0.500 0.000 Re
0.500 0.500 0.500 Re
0.617 0.617 0.617 Re



[5]
Y4HgTe (GGA-PBE, relaxed); calculated density = 6.27 g cm⁻³; formation energy from raw total energies = 128 meV/atom; calculated total energy = -4.76 eV/atom; DOS at the Fermi energy = 9.34 states/eV per cell; energy above the most stable polymorph in this dataset = 698 meV/atom; total moment = 0.0 μB/cell
1.0
0.000 4.491 4.491
4.491 0.000 4.491
4.491 4.491 0.000
Y Hg Te
4 1 1
direct
0.125 0.125 0.125 Y
0.125 0.125 0.626 Y
0.125 0.626 0.125 Y
0.626 0.125 0.125 Y
0.750 0.750 0.750 Hg
0.500 0.500 0.500 Te



[6]
BaAcZnPd (GGA-PBE, relaxed); calculated density = 6.21 g cm⁻³; DFT formation energy = -443.8 meV/atom; calculated total energy = -3.57 eV/atom; DOS at the Fermi energy = 7.43 states/eV per cell; energy above the most stable polymorph in this dataset = 0 meV/atom; total moment = 0.0 μB/cell
1.0
7.862 0.000 0.000
0.000 4.540 0.000
-2.630 0.000 8.032
Ba Ac Zn Pd
2 2 2 2
direct
0.000 0.000 0.000 Ba
0.500 0.500 0.000 Ba
0.173 0.000 0.516 Ac
0.673 0.500 0.516 Ac
0.257 0.500 0.271 Zn
0.757 0.000 0.271 Zn
0.432 0.000 0.295 Pd
0.932 0.500 0.295 Pd